Model i:
{"formula": "Zr2TeBr", "functional": "PBE-GGA", "state": "relaxed", "rho_g_cm3": 7.00, "magnetic_moment_mub_per_fu": 0.00, "space_group": "P2/m", "dos_ef_per_ev_fu": 4.06, "lattice_angstrom": [[3.503, 0.000, 0.000], [0.000, 6.023, 0.011], [0.000, 4.044, 4.395]], "species": ["Te", "Zr", "Zr", "Br"], "frac_coords": [[0.000, 0.000, 0.500], [0.000, 0.000, 0.000], [0.500, 0.500, 0.000], [0.500, 0.500, 0.500]]}

=====

Model ii:
{"formula": "Zr2TeBr", "functional": "PBE-GGA", "state": "relaxed", "rho_g_cm3": 6.89, "magnetic_moment_mub_per_fu": 0.00, "space_group": "Pmm2", "dos_ef_per_ev_fu": 3.75, "lattice_angstrom": [[-1.098, -2.970, 4.252], [3.221, 0.730, 1.342], [-1.862, 3.989, 2.306]], "species": ["Br", "Te", "Zr", "Zr"], "frac_coords": [[0.000, 0.375, 0.448], [0.500, 0.875, 0.781], [0.000, 0.875, 0.018], [0.500, 0.375, 0.254]]}

=====

Model iii:
{"formula": "Zr2TeBr", "functional": "PBE-GGA", "state": "relaxed", "rho_g_cm3": 6.76, "magnetic_moment_mub_per_fu": 0.00, "space_group": "Cmmm", "dos_ef_per_ev_fu": 3.78, "lattice_angstrom": [[-1.258, -2.213, -2.316], [3.207, 1.182, -0.405], [3.236, -7.066, 4.994]], "species": ["Br", "Te", "Zr", "Zr"], "frac_coords": [[0.500, 0.500, 0.250], [0.500, 0.500, 0.750], [0.000, 0.000, 0.503], [0.000, 0.000, 0.997]]}

=====

Tell me which of them is the least stable. Sure, it is model iii.